[1]
## Y2IrPtO (GGA-PBE)

Data for an optimized crystal structure of Y2IrPtO.

POSCAR file:
```
Y2IrPtO
1.0
-3.761 -2.097 -1.955
2.271 -1.151 -3.135
1.071 -4.019 2.252
Y Ir O Pt
2 1 1 1
direct
0.000 0.000 0.500
0.500 0.000 0.000
0.000 0.500 0.000
0.000 0.000 0.000
0.500 0.500 0.500
```

Results
Energy relative to the elements, uncorrected in eV/atom: -1.2797
D(E_F) in states/eV/cell: 2.001
M_tot in μB per formula unit: 0.0



[2]
## ZnIrPtO6 (GGA-PBE)

Data for an optimized crystal structure of ZnIrPtO6.

POSCAR file:
```
ZnIrPtO6
1.0
-2.713 0.047 -4.424
5.187 -0.063 -0.138
-0.108 -8.892 -0.028
Zn Ir Pt O
2 2 2 12
direct
0.000 0.000 0.000
0.000 0.000 0.500
0.667 0.333 0.250
0.333 0.667 0.750
0.333 0.667 0.250
0.667 0.333 0.750
0.652 0.644 0.130
0.992 0.348 0.130
0.348 0.992 0.630
0.008 0.652 0.870
0.356 0.348 0.370
0.992 0.644 0.370
0.644 0.992 0.870
0.652 0.008 0.370
0.008 0.356 0.630
0.356 0.008 0.130
0.644 0.652 0.630
0.348 0.356 0.870
```

Results
Energy relative to the elements, uncorrected in eV/atom: -0.6511
D(E_F) in states/eV/cell: 13.609
M_tot in μB per formula unit: 2.2